# 1
A plane-wave DFT calculation with PBE-GGA was carried out for La3PrN2F2 after structural relaxation.

Results
DFT total energy = -7.011 eV/atom
Crystal system = trigonal

abc: 3.5925 3.5925 12.8606
angles: 90.00 90.00 120.00
Space group P3m1 (No. 156)
Inequivalent atoms, fractional coordinates:
1 La 0.0000 0.0000 0.0000 x1
2 La 0.0000 0.0000 0.2845 x1
3 La 0.6667 0.3333 0.5022 x1
4 Pr 0.6667 0.3333 0.7845 x1
5 N 0.3333 0.6667 0.3937 x1
6 N 0.3333 0.6667 0.8911 x1
7 F 0.0000 0.0000 0.6472 x1
8 F 0.6667 0.3333 0.1421 x1


# 2
A plane-wave DFT calculation with PBE-GGA was carried out for CsAg2Sb2 after structural relaxation.

Results
DFT total energy = -3.121 eV/atom
Crystal system = tetragonal

abc: 5.001 5.001 11.720
angles: 90.00 90.00 90.00
Space group I4/mmm (No. 139)
Inequivalent atoms, fractional coordinates:
1 Cs 0.000 0.000 0.000 x2
2 Ag 0.000 0.500 0.250 x4
3 Sb 0.000 0.000 0.374 x4


# 3
A plane-wave DFT calculation with PBE-GGA was carried out for DyHgSO after structural relaxation.

Results
DFT total energy = -5.113 eV/atom
Crystal system = orthorhombic

abc: 4.589 8.579 5.256
angles: 90.00 90.00 90.00
Space group Pmc2_1 (No. 26)
Inequivalent atoms, fractional coordinates:
1 Dy 0.000 0.142 0.000 x2
2 Hg 0.500 0.311 0.568 x2
3 S 0.500 0.306 0.075 x2
4 O 0.000 0.090 0.612 x2


# 4
A plane-wave DFT calculation with PBE-GGA was carried out for ReF4 after structural relaxation.

Results
DFT total energy = -5.705 eV/atom
Crystal system = monoclinic

abc: 5.014 4.859 5.366
angles: 90.00 119.42 90.00
Space group P2_1/c (No. 14)
Inequivalent atoms, fractional coordinates:
1 Re 0.000 0.000 0.000 x2
2 F 0.133 0.155 0.387 x4
3 F 0.384 0.677 0.619 x4


# 5
A plane-wave DFT calculation with PBE-GGA was carried out for SrZnSeO after structural relaxation.

Results
DFT total energy = -4.286 eV/atom
Crystal system = tetragonal

abc: 3.774 3.774 10.822
angles: 90.00 90.00 90.00
Space group P4/nmm (No. 129, origin choice 2)
Inequivalent atoms, fractional coordinates:
1 Sr 0.250 0.250 0.118 x2
2 Zn 0.250 0.750 0.500 x2
3 Se 0.250 0.250 0.656 x2
4 O 0.250 0.250 0.902 x2


# 6
A plane-wave DFT calculation with PBE-GGA was carried out for PuCdGe after structural relaxation.

Results
DFT total energy = -6.373 eV/atom
Crystal system = cubic

abc: 6.916 6.916 6.916
angles: 90.00 90.00 90.00
Space group F-43m (No. 216)
Inequivalent atoms, fractional coordinates:
1 Pu 0.000 0.000 0.000 x4
2 Cd 0.250 0.250 0.750 x4
3 Ge 0.250 0.250 0.250 x4


# 7
A plane-wave DFT calculation with PBE-GGA was carried out for MgNbGaNi after structural relaxation.

Results
DFT total energy = -4.965 eV/atom
Crystal system = cubic

abc: 6.270 6.270 6.270
angles: 90.00 90.00 90.00
Space group F-43m (No. 216)
Inequivalent atoms, fractional coordinates:
1 Mg 0.000 0.000 0.000 x4
2 Nb 0.250 0.250 0.750 x4
3 Ga 0.250 0.250 0.250 x4
4 Ni 0.000 0.000 0.500 x4


# 8
A plane-wave DFT calculation with PBE-GGA was carried out for TaCuGeW after structural relaxation.

Results
DFT total energy = -7.934 eV/atom
Crystal system = cubic

abc: 6.303 6.303 6.303
angles: 90.00 90.00 90.00
Space group F-43m (No. 216)
Inequivalent atoms, fractional coordinates:
1 Ta 0.000 0.000 0.000 x4
2 Cu 0.250 0.250 0.750 x4
3 Ge 0.000 0.000 0.500 x4
4 W 0.250 0.250 0.250 x4


# 9
A plane-wave DFT calculation with PBE-GGA was carried out for Cu2Ag after structural relaxation.

Results
DFT total energy = -3.320 eV/atom
Crystal system = monoclinic

abc: 13.904 2.748 7.955
angles: 90.00 124.18 90.00
Space group Cm (No. 8)
Inequivalent atoms, fractional coordinates:
1 Cu 0.000 0.000 0.000 x2
2 Cu 0.042 0.500 0.310 x2
3 Cu 0.097 0.000 0.638 x2
4 Cu 0.154 0.500 0.984 x2
5 Cu 0.209 0.000 0.293 x2
6 Cu 0.378 0.500 0.317 x2
7 Ag 0.258 0.500 0.626 x2
8 Ag 0.323 0.000 0.987 x2
9 Ag 0.441 0.000 0.654 x2


# 10
A plane-wave DFT calculation with PBE-GGA was carried out for AlSi2Ir after structural relaxation.

Results
DFT total energy = -5.904 eV/atom
Crystal system = cubic

abc: 6.114 6.114 6.114
angles: 90.00 90.00 90.00
Space group F-43m (No. 216)
Inequivalent atoms, fractional coordinates:
1 Al 0.000 0.000 0.000 x4
2 Si 0.000 0.000 0.500 x4
3 Si 0.250 0.250 0.750 x4
4 Ir 0.250 0.250 0.250 x4


# 11
A plane-wave DFT calculation with PBE-GGA was carried out for NdNiB after structural relaxation.

Results
DFT total energy = -5.418 eV/atom
Crystal system = cubic

abc: 5.941 5.941 5.941
angles: 90.00 90.00 90.00
Space group F-43m (No. 216)
Inequivalent atoms, fractional coordinates:
1 Nd 0.000 0.000 0.000 x4
2 Ni 0.000 0.000 0.500 x4
3 B 0.250 0.250 0.250 x4


# 12
A plane-wave DFT calculation with PBE-GGA was carried out for BaCu2GeS4 after structural relaxation.

Results
DFT total energy = -4.625 eV/atom
Crystal system = trigonal

abc: 6.2697 6.2697 15.5879
angles: 90.00 90.00 120.00
Space group P3_121 (No. 152)
Inequivalent atoms, fractional coordinates:
1 Ba 0.0000 0.5668 0.1667 x3
2 Cu 0.0731 0.6496 0.4103 x6
3 Ge 0.0000 0.7123 0.6667 x3
4 S 0.0449 0.5156 0.7812 x6
5 S 0.0980 0.3338 0.3352 x6


# 13
A plane-wave DFT calculation with PBE-GGA was carried out for ErSbN2O after structural relaxation.

Results
DFT total energy = -7.058 eV/atom
Crystal system = triclinic

abc: 7.831 7.985 8.003
angles: 89.68 89.91 87.91
Space group P1 (No. 1)
Inequivalent atoms, fractional coordinates:
1 Er 0.000 0.000 0.000 x1
2 Er 0.013 0.491 0.021 x1
3 Er 0.057 0.557 0.497 x1
4 Er 0.071 0.049 0.517 x1
5 Er 0.492 0.507 0.015 x1
6 Er 0.516 0.973 0.000 x1
7 Er 0.554 0.076 0.518 x1
8 Er 0.578 0.541 0.502 x1
9 Sb 0.284 0.282 0.771 x1
10 Sb 0.287 0.760 0.751 x1
11 Sb 0.290 0.258 0.249 x1
12 Sb 0.293 0.782 0.276 x1
13 Sb 0.778 0.266 0.242 x1
14 Sb 0.781 0.790 0.269 x1
15 Sb 0.784 0.289 0.767 x1
16 Sb 0.786 0.766 0.747 x1
17 N 0.034 0.819 0.326 x1
18 N 0.035 0.840 0.713 x1
19 N 0.036 0.208 0.805 x1
20 N 0.037 0.229 0.192 x1
21 N 0.230 0.527 0.835 x1
22 N 0.321 0.678 0.512 x1
23 N 0.334 0.023 0.342 x1
24 N 0.374 0.229 0.008 x1
25 N 0.532 0.323 0.690 x1
26 N 0.532 0.329 0.320 x1
27 N 0.538 0.719 0.197 x1
28 N 0.539 0.726 0.829 x1
29 N 0.696 0.820 0.510 x1
30 N 0.737 0.026 0.175 x1
31 N 0.750 0.370 0.007 x1
32 N 0.840 0.522 0.682 x1
33 O 0.205 0.308 0.508 x1
34 O 0.231 0.526 0.208 x1
35 O 0.249 0.851 0.016 x1
36 O 0.340 0.022 0.706 x1
37 O 0.730 0.027 0.812 x1
38 O 0.821 0.197 0.502 x1
39 O 0.840 0.523 0.310 x1
40 O 0.866 0.741 0.010 x1


# 14
A plane-wave DFT calculation with PBE-GGA was carried out for SrAlFe after structural relaxation.

Results
DFT total energy = -3.999 eV/atom
Crystal system = cubic

abc: 6.668 6.668 6.668
angles: 90.00 90.00 90.00
Space group F-43m (No. 216)
Inequivalent atoms, fractional coordinates:
1 Sr 0.000 0.000 0.000 x4
2 Al 0.000 0.000 0.500 x4
3 Fe 0.250 0.250 0.750 x4


# 15
A plane-wave DFT calculation with PBE-GGA was carried out for YHo2In3Ir2Pd after structural relaxation.

Results
DFT total energy = -5.946 eV/atom
Crystal system = orthorhombic

abc: 3.864 13.234 7.573
angles: 90.00 90.00 90.00
Space group Amm2 (No. 38)
Inequivalent atoms, fractional coordinates:
1 Y 0.000 0.000 0.000 x2
2 Ho 0.000 0.205 0.385 x4
3 In 0.500 0.000 0.328 x2
4 In 0.500 0.129 0.721 x4
5 Ir 0.500 0.170 0.092 x4
6 Pd 0.000 0.000 0.587 x2


# 16
A plane-wave DFT calculation with PBE-GGA was carried out for NdCd2 after structural relaxation.

Results
DFT total energy = -2.498 eV/atom
Crystal system = cubic

abc: 8.426 8.426 8.426
angles: 90.00 90.00 90.00
Space group Fd-3m (No. 227, origin choice 2)
Inequivalent atoms, fractional coordinates:
1 Nd 0.125 0.125 0.125 x8
2 Cd 0.000 0.000 0.500 x16


# 17
A plane-wave DFT calculation with PBE-GGA was carried out for InCoNiIr after structural relaxation.

Results
DFT total energy = -5.946 eV/atom
Crystal system = cubic

abc: 6.080 6.080 6.080
angles: 90.00 90.00 90.00
Space group F-43m (No. 216)
Inequivalent atoms, fractional coordinates:
1 In 0.000 0.000 0.000 x4
2 Co 0.250 0.250 0.250 x4
3 Ni 0.250 0.250 0.750 x4
4 Ir 0.000 0.000 0.500 x4


# 18
A plane-wave DFT calculation with PBE-GGA was carried out for GdMgZn after structural relaxation.

Results
DFT total energy = -2.364 eV/atom
Crystal system = trigonal

abc: 3.9481 3.9481 11.6774
angles: 90.00 90.00 120.00
Space group P3m1 (No. 156)
Inequivalent atoms, fractional coordinates:
1 Gd 0.0000 0.0000 0.0000 x1
2 Gd 0.0000 0.0000 0.4222 x1
3 Mg 0.3333 0.6667 0.2112 x1
4 Mg 0.6667 0.3333 0.8014 x1
5 Zn 0.0000 0.0000 0.6854 x1
6 Zn 0.3333 0.6667 0.5924 x1


# 19
A plane-wave DFT calculation with PBE-GGA was carried out for LaCuNiSn2 after structural relaxation.

Results
DFT total energy = -4.952 eV/atom
Crystal system = tetragonal

abc: 4.505 4.505 10.473
angles: 90.00 90.00 90.00
Space group P4/nmm (No. 129, origin choice 2)
Inequivalent atoms, fractional coordinates:
1 La 0.250 0.250 0.234 x2
2 Cu 0.250 0.250 0.638 x2
3 Ni 0.250 0.750 0.000 x2
4 Sn 0.250 0.250 0.883 x2
5 Sn 0.250 0.750 0.500 x2


# 20
A plane-wave DFT calculation with PBE-GGA was carried out for CsZrMo after structural relaxation.

Results
DFT total energy = -4.177 eV/atom
Crystal system = cubic

abc: 6.676 6.676 6.676
angles: 90.00 90.00 90.00
Space group F-43m (No. 216)
Inequivalent atoms, fractional coordinates:
1 Cs 0.000 0.000 0.000 x4
2 Zr 0.250 0.250 0.250 x4
3 Mo 0.250 0.250 0.750 x4


# 21
A plane-wave DFT calculation with PBE-GGA was carried out for PaCN3 after structural relaxation.

Results
DFT total energy = -9.560 eV/atom
Crystal system = monoclinic

abc: 3.971 4.927 5.907
angles: 90.00 107.12 90.00
Space group P2_1/m (No. 11)
Inequivalent atoms, fractional coordinates:
1 Pa 0.124 0.250 0.279 x2
2 C 0.498 0.250 0.761 x2
3 N 0.161 0.750 0.110 x2
4 N 0.336 0.013 0.677 x4


# 22
A plane-wave DFT calculation with PBE-GGA was carried out for GdTlZnSe3 after structural relaxation.

Results
DFT total energy = -4.262 eV/atom
Crystal system = orthorhombic

abc: 4.133 14.833 11.016
angles: 90.00 90.00 90.00
Space group Cmcm (No. 63)
Inequivalent atoms, fractional coordinates:
1 Gd 0.000 0.000 0.000 x4
2 Tl 0.000 0.248 0.250 x4
3 Zn 0.000 0.464 0.750 x4
4 Se 0.000 0.066 0.750 x4
5 Se 0.000 0.371 0.565 x8


# 23
A plane-wave DFT calculation with PBE-GGA was carried out for BaGdNO after structural relaxation.

Results
DFT total energy = -6.530 eV/atom
Crystal system = tetragonal

abc: 4.734 4.734 8.626
angles: 90.00 90.00 90.00
Space group P4/nmm (No. 129, origin choice 2)
Inequivalent atoms, fractional coordinates:
1 Ba 0.250 0.250 0.111 x2
2 Gd 0.250 0.750 0.500 x2
3 N 0.250 0.250 0.456 x2
4 O 0.250 0.750 0.000 x2


# 24
A plane-wave DFT calculation with PBE-GGA was carried out for PrTm2ZrSb2 after structural relaxation.

Results
DFT total energy = -5.717 eV/atom
Crystal system = tetragonal

abc: 4.373 4.373 16.880
angles: 90.00 90.00 90.00
Space group I4mm (No. 107)
Inequivalent atoms, fractional coordinates:
1 Pr 0.000 0.000 0.000 x2
2 Tm 0.000 0.500 0.185 x4
3 Zr 0.000 0.000 0.355 x2
4 Sb 0.000 0.000 0.545 x2
5 Sb 0.000 0.000 0.817 x2